1.
Material: Sm2SnPb5
Method: DFT, PBE
State: optimized geometry

Summary:
The density of states at the Fermi level is 6.80 states/eV/cell. The value obtained for the formation enthalpy at 0 K is -2.91 eV/f.u. Its space-group type is No. 55.

a = 4.8787 Å, b = 6.9126 Å, c = 13.8454 Å
α = 90.00°, β = 90.00°, γ = 90.00°
With the nearest neighbours (Å) after each atom.
Fractional positions:
Sm 0.5000 0.2390 0.3800  2 Sn 3.38, 10 Pb 3.42-3.51
Sm 0.5000 0.7610 0.6200  2 Sn 3.38, 10 Pb 3.42-3.51
Sm 0.5000 0.2610 0.8800  2 Sn 3.38, 10 Pb 3.42-3.51
Sm 0.5000 0.7390 0.1200  2 Sn 3.38, 10 Pb 3.42-3.51
Sn 0.0000 0.0000 0.5000  4 Sm 3.38, 8 Pb 3.45-3.49
Sn 0.0000 0.5000 0.0000  4 Sm 3.38, 8 Pb 3.45-3.49
Pb 0.5000 0.2442 0.1270  4 Sm 3.42-3.50, 6 Pb 3.43-3.45, 2 Sn 3.49
Pb 0.5000 0.7558 0.8730  4 Sm 3.42-3.50, 6 Pb 3.43-3.45, 2 Sn 3.49
Pb 0.5000 0.7442 0.3730  4 Sm 3.42-3.50, 6 Pb 3.43-3.45, 2 Sn 3.49
Pb 0.5000 0.2558 0.6270  4 Sm 3.42-3.50, 6 Pb 3.43-3.45, 2 Sn 3.49
Pb 0.0000 0.0075 0.7494  7 Pb 3.43-3.47, 1 Sn 3.45, 4 Sm 3.47-3.51
Pb 0.0000 0.9925 0.2506  7 Pb 3.43-3.47, 1 Sn 3.45, 4 Sm 3.47-3.51
Pb 0.0000 0.5075 0.7506  7 Pb 3.43-3.47, 1 Sn 3.45, 4 Sm 3.47-3.51
Pb 0.0000 0.4925 0.2494  7 Pb 3.43-3.47, 1 Sn 3.45, 4 Sm 3.47-3.51
Pb 0.0000 0.5000 0.5000  6 Pb 3.45-3.47, 2 Sn 3.46, 4 Sm 3.46
Pb 0.0000 0.0000 0.0000  6 Pb 3.45-3.47, 2 Sn 3.46, 4 Sm 3.46

2.
Material: YScRe2
Method: DFT, PBE
State: optimized geometry

Summary:
The density of states at the Fermi level is 4.20 states/eV/cell. The value obtained for the formation enthalpy at 0 K is 0.82 eV/f.u. Its space-group type is No. 119.

a = 4.6961 Å, b = 4.6961 Å, c = 4.6961 Å
α = 120.09°, β = 120.09°, γ = 89.85°
With the nearest neighbours (Å) after each atom.
Fractional positions:
Re 0.0000 0.0000 0.0000  4 Re 2.87, 4 Y 2.87
Re 0.2500 0.7500 0.5000  4 Re 2.87, 4 Sc 2.87
Sc 0.5000 0.5000 0.0000  4 Y 2.87, 4 Re 2.87
Y 0.7500 0.2500 0.5000  4 Re 2.87, 4 Sc 2.87

3.
Material: Ac3NbN4
Method: DFT, PBE
State: optimized geometry

Summary:
The density of states at the Fermi level is 5.76 states/eV/cell. As for the formation energy (no corrections): -1.053 eV per atom. Its space-group type is No. 31.

a = 5.9128 Å, b = 7.2775 Å, c = 8.0187 Å
α = 90.00°, β = 90.00°, γ = 90.00°
With the nearest neighbours (Å) after each atom.
Fractional positions:
Ac 0.5268 0.8512 0.0000  4 N 2.47-2.71
Ac 0.0300 0.6559 0.2517  4 N 2.51-2.67
Ac 0.5300 0.3441 0.2483  4 N 2.51-2.67
Ac 0.0268 0.1488 0.5000  4 N 2.47-2.71
Ac 0.5300 0.3441 0.7517  4 N 2.51-2.67
Ac 0.0300 0.6559 0.7483  4 N 2.51-2.67
Nb 0.0058 0.1643 0.0000  4 N 1.96-2.03
Nb 0.5058 0.8357 0.5000  4 N 1.96-2.03
N 0.0711 0.8910 0.0000  1 Nb 2.03
N 0.6738 0.1694 0.0000  1 Nb 1.96
N 0.0888 0.2954 0.2102  1 Nb 2.00
N 0.5888 0.7046 0.2898  1 Nb 2.00
N 0.1738 0.8306 0.5000  1 Nb 1.96
N 0.5711 0.1090 0.5000  1 Nb 2.03
N 0.5888 0.7046 0.7102  1 Nb 2.00
N 0.0888 0.2954 0.7898  1 Nb 2.00

4.
Material: TbGa2Cu2Pd
Method: DFT, PBE
State: optimized geometry

Summary:
The density of states at the Fermi level is 3.89 states/eV/cell. The value obtained for the formation enthalpy at 0 K is -0.49 eV/f.u. Its space-group type is No. 123.

a = 4.7203 Å, b = 4.7203 Å, c = 5.3711 Å
α = 90.00°, β = 90.00°, γ = 90.00°
With the nearest neighbours (Å) after each atom.
Fractional positions:
Tb 0.0000 0.0000 0.5000  2 Pd 2.69
Ga 0.5000 0.0000 0.0000  2 Pd 2.36
Ga 0.0000 0.5000 0.0000  2 Pd 2.36
Cu 0.5000 0.5000 0.7308  1 Cu 2.48, 4 Ga 2.77
Cu 0.5000 0.5000 0.2692  1 Cu 2.48, 4 Ga 2.77
Pd 0.0000 0.0000 0.0000  4 Ga 2.36

Copy entry 3 word for word.
Material: Ac3NbN4
Method: DFT, PBE
State: optimized geometry

Summary:
The density of states at the Fermi level is 5.76 states/eV/cell. As for the formation energy (no corrections): -1.053 eV per atom. Its space-group type is No. 31.

a = 5.9128 Å, b = 7.2775 Å, c = 8.0187 Å
α = 90.00°, β = 90.00°, γ = 90.00°
With the nearest neighbours (Å) after each atom.
Fractional positions:
Ac 0.5268 0.8512 0.0000  4 N 2.47-2.71
Ac 0.0300 0.6559 0.2517  4 N 2.51-2.67
Ac 0.5300 0.3441 0.2483  4 N 2.51-2.67
Ac 0.0268 0.1488 0.5000  4 N 2.47-2.71
Ac 0.5300 0.3441 0.7517  4 N 2.51-2.67
Ac 0.0300 0.6559 0.7483  4 N 2.51-2.67
Nb 0.0058 0.1643 0.0000  4 N 1.96-2.03
Nb 0.5058 0.8357 0.5000  4 N 1.96-2.03
N 0.0711 0.8910 0.0000  1 Nb 2.03
N 0.6738 0.1694 0.0000  1 Nb 1.96
N 0.0888 0.2954 0.2102  1 Nb 2.00
N 0.5888 0.7046 0.2898  1 Nb 2.00
N 0.1738 0.8306 0.5000  1 Nb 1.96
N 0.5711 0.1090 0.5000  1 Nb 2.03
N 0.5888 0.7046 0.7102  1 Nb 2.00
N 0.0888 0.2954 0.7898  1 Nb 2.00

Please write out number 3 again, unchanged.
Material: Ac3NbN4
Method: DFT, PBE
State: optimized geometry

Summary:
The density of states at the Fermi level is 5.76 states/eV/cell. As for the formation energy (no corrections): -1.053 eV per atom. Its space-group type is No. 31.

a = 5.9128 Å, b = 7.2775 Å, c = 8.0187 Å
α = 90.00°, β = 90.00°, γ = 90.00°
With the nearest neighbours (Å) after each atom.
Fractional positions:
Ac 0.5268 0.8512 0.0000  4 N 2.47-2.71
Ac 0.0300 0.6559 0.2517  4 N 2.51-2.67
Ac 0.5300 0.3441 0.2483  4 N 2.51-2.67
Ac 0.0268 0.1488 0.5000  4 N 2.47-2.71
Ac 0.5300 0.3441 0.7517  4 N 2.51-2.67
Ac 0.0300 0.6559 0.7483  4 N 2.51-2.67
Nb 0.0058 0.1643 0.0000  4 N 1.96-2.03
Nb 0.5058 0.8357 0.5000  4 N 1.96-2.03
N 0.0711 0.8910 0.0000  1 Nb 2.03
N 0.6738 0.1694 0.0000  1 Nb 1.96
N 0.0888 0.2954 0.2102  1 Nb 2.00
N 0.5888 0.7046 0.2898  1 Nb 2.00
N 0.1738 0.8306 0.5000  1 Nb 1.96
N 0.5711 0.1090 0.5000  1 Nb 2.03
N 0.5888 0.7046 0.7102  1 Nb 2.00
N 0.0888 0.2954 0.7898  1 Nb 2.00